Computed, not measured: an optimized crystal structure of RuPb2Au at the GGA-PBE level of DFT.

Cell: 3.5368 4.2400 5.8075 Å, 90.00 90.00 90.00°
Atoms (fractional coordinates):
Pb 0.0000 0.0000 0.9527
Pb 0.5000 0.5000 0.3070
Ru 0.0000 0.0000 0.4573
Au 0.5000 0.5000 0.7830

Results
DFT formation energy: 0.35 eV per atom